(1)
A plane-wave DFT calculation with GGA-PBE was carried out for crystalline LaY6Ho2 at its relaxed geometry.

spin magnetization	0.0	μB per cell
energy relative to the lowest polymorph listed for this composition	99.3	meV/atom

Geometry as CIF:
```
data_LaY6Ho2
_chemical_formula_sum 'La2 Y12 Ho4'
_symmetry_space_group_name_H-M 'P -1'
_symmetry_Int_Tables_number 2
_symmetry_space_group_name_Hall '-P 1'
_cell_length_a 6.2524
_cell_length_b 6.2548
_cell_length_c 15.9670
_cell_angle_alpha 98.38
_cell_angle_beta 99.81
_cell_angle_gamma 100.93
loop_
_atom_site_label
_atom_site_fract_x
_atom_site_fract_y
_atom_site_fract_z
_atom_site_occupancy
La1 0.0305 0.2816 0.2499 1
Y1 0.0860 0.3056 0.8844 1
Y2 0.1067 0.2516 0.4740 1
Y3 0.2227 0.8672 0.9740 1
Y4 0.3315 0.7725 0.3987 1
Y5 0.3731 0.4329 0.1016 1
Y6 0.4214 0.7005 0.6162 1
Ho1 0.2109 0.2335 0.6883 1
Ho2 0.4522 0.9766 0.1884 1
```

=====

(2)
A plane-wave DFT calculation with GGA-PBE was carried out for crystalline Mn2ReTc2 at its relaxed geometry.

spin magnetization	0.0	μB per cell
energy relative to the lowest polymorph listed for this composition	247.8	meV/atom

Geometry as CIF:
```
data_Mn2ReTc2
_chemical_formula_sum 'Mn4 Re2 Tc4'
_symmetry_space_group_name_H-M 'I 4/m m m'
_symmetry_Int_Tables_number 139
_symmetry_space_group_name_Hall '-I 4 2'
_cell_length_a 3.0664
_cell_length_b 3.0664
_cell_length_c 14.8306
_cell_angle_alpha 90.00
_cell_angle_beta 90.00
_cell_angle_gamma 90.00
loop_
_atom_site_label
_atom_site_fract_x
_atom_site_fract_y
_atom_site_fract_z
_atom_site_occupancy
Mn1 0.0000 0.5000 0.2500 1
Re1 0.0000 0.0000 0.0000 1
Tc1 0.0000 0.0000 0.3943 1
```

=====

(3)
A plane-wave DFT calculation with GGA-PBE was carried out for crystalline ScVB2 at its relaxed geometry.

spin magnetization	0.0	μB per cell
energy relative to the lowest polymorph listed for this composition	0.0	meV/atom

Geometry as CIF:
```
data_ScVB2
_chemical_formula_sum 'Sc3 V3 B6'
_symmetry_space_group_name_H-M 'R -3 m'
_symmetry_Int_Tables_number 166
_symmetry_space_group_name_Hall '-R 3 2"'
_cell_length_a 3.2343
_cell_length_b 3.2343
_cell_length_c 15.9532
_cell_angle_alpha 90.00
_cell_angle_beta 90.00
_cell_angle_gamma 120.00
loop_
_atom_site_label
_atom_site_fract_x
_atom_site_fract_y
_atom_site_fract_z
_atom_site_occupancy
Sc1 0.0000 0.0000 0.0000 1
V1 0.0000 0.0000 0.5000 1
B1 0.0000 0.0000 0.2347 1
```

=====

(4)
A plane-wave DFT calculation with GGA-PBE was carried out for crystalline MgFeOs at its relaxed geometry.

spin magnetization	2.9	μB per cell
energy relative to the lowest polymorph listed for this composition	131.7	meV/atom

Geometry as CIF:
```
data_MgFeOs
_chemical_formula_sum 'Mg2 Fe2 Os2'
_symmetry_space_group_name_H-M 'P 1 m 1'
_symmetry_Int_Tables_number 6
_symmetry_space_group_name_Hall 'P -2y'
_cell_length_a 4.7328
_cell_length_b 2.7354
_cell_length_c 6.7600
_cell_angle_alpha 90.00
_cell_angle_beta 102.94
_cell_angle_gamma 90.00
loop_
_atom_site_label
_atom_site_fract_x
_atom_site_fract_y
_atom_site_fract_z
_atom_site_occupancy
Mg1 0.0000 0.0000 0.0000 1
Mg2 0.4954 0.5000 0.9810 1
Fe1 0.5601 0.0000 0.6400 1
Fe2 0.7709 0.0000 0.3406 1
Os1 0.0384 0.5000 0.6403 1
Os2 0.2909 0.5000 0.3453 1
```